# NdYGaAu (PBE-GGA, relaxed)
# Electronic total energy (eV per atom): -5.04
# DFT formation energy (eV per atom): -0.6592
# Offset from the most stable computed form (meV per atom): 38
data_NdYGaAu
_chemical_formula_sum 'Nd1 Y1 Ga1 Au1'
_space_group_name_H-M_alt 'P 1'
_space_group_IT_number 1
_cell_length_a 5.197
_cell_length_b 5.197
_cell_length_c 5.197
_cell_angle_alpha 60.00
_cell_angle_beta 60.00
_cell_angle_gamma 60.00
loop_
_space_group_symop_operation_xyz
'x,y,z'
loop_
_atom_site_label
_atom_site_fract_x
_atom_site_fract_y
_atom_site_fract_z
Y1 0.750 0.750 0.750
Nd1 0.250 0.250 0.250
Au1 0.500 0.500 0.500
Ga1 0.000 0.000 0.000


# Ti6Zn2Ga (PBE-GGA, relaxed)
# Electronic total energy (eV per atom): -5.94
# DFT formation energy (eV per atom): -0.0623
# Offset from the most stable computed form (meV per atom): 0
data_Ti6Zn2Ga
_chemical_formula_sum 'Ti12 Zn4 Ga2'
_space_group_name_H-M_alt 'P 1'
_space_group_IT_number 1
_cell_length_a 7.353
_cell_length_b 7.353
_cell_length_c 7.353
_cell_angle_alpha 101.63
_cell_angle_beta 114.89
_cell_angle_gamma 112.18
loop_
_space_group_symop_operation_xyz
'x,y,z'
loop_
_atom_site_label
_atom_site_fract_x
_atom_site_fract_y
_atom_site_fract_z
Ti1 0.503 0.710 0.793
Ti2 0.497 0.290 0.207
Ti3 0.083 0.290 0.793
Ti4 0.917 0.710 0.207
Ti5 0.805 0.751 0.555
Ti6 0.195 0.249 0.445
Ti7 0.195 0.751 0.946
Ti8 0.805 0.249 0.054
Ti9 0.725 0.403 0.678
Ti10 0.275 0.597 0.322
Ti11 0.275 0.953 0.678
Ti12 0.725 0.047 0.322
Zn1 0.500 0.369 0.869
Zn2 0.500 0.631 0.131
Zn3 0.655 0.000 0.655
Zn4 0.345 0.000 0.345
Ga1 0.000 0.500 0.500
Ga2 0.000 0.000 0.000


# MoNCl (PBE-GGA, relaxed)
# Electronic total energy (eV per atom): -7.53
data_MoNCl
_chemical_formula_sum 'Mo2 N2 Cl2'
_space_group_name_H-M_alt 'P 1'
_space_group_IT_number 1
_cell_length_a 3.148
_cell_length_b 4.034
_cell_length_c 8.398
_cell_angle_alpha 90.00
_cell_angle_beta 90.00
_cell_angle_gamma 90.00
loop_
_space_group_symop_operation_xyz
'x,y,z'
loop_
_atom_site_label
_atom_site_fract_x
_atom_site_fract_y
_atom_site_fract_z
Mo1 0.500 0.000 0.579
Mo2 0.000 0.500 0.421
N1 0.000 0.000 0.403
N2 0.500 0.500 0.597
Cl1 0.500 0.500 0.193
Cl2 0.000 0.000 0.807


# Tl3Hg8Pb2 (PBE-GGA, relaxed)
# Electronic total energy (eV per atom): -1.28
# DFT formation energy (eV per atom): 0.0176
# Offset from the most stable computed form (meV per atom): 0
data_Tl3Hg8Pb2
_chemical_formula_sum 'Tl3 Hg8 Pb2'
_space_group_name_H-M_alt 'P 1'
_space_group_IT_number 1
_cell_length_a 5.857
_cell_length_b 8.388
_cell_length_c 8.388
_cell_angle_alpha 83.52
_cell_angle_beta 73.14
_cell_angle_gamma 73.14
loop_
_space_group_symop_operation_xyz
'x,y,z'
loop_
_atom_site_label
_atom_site_fract_x
_atom_site_fract_y
_atom_site_fract_z
Tl1 0.500 0.000 0.000
Tl2 0.000 0.251 0.749
Tl3 0.000 0.749 0.251
Hg1 0.230 0.578 0.578
Hg2 0.770 0.422 0.422
Hg3 0.921 0.148 0.148
Hg4 0.079 0.852 0.852
Hg5 0.670 0.584 0.077
Hg6 0.670 0.077 0.584
Hg7 0.330 0.923 0.416
Hg8 0.330 0.416 0.923
Pb1 0.346 0.303 0.303
Pb2 0.654 0.697 0.697


# BeGaP (PBE-GGA, relaxed)
# Electronic total energy (eV per atom): -4.11
# DFT formation energy (eV per atom): -0.0588
# Offset from the most stable computed form (meV per atom): 120
data_BeGaP
_chemical_formula_sum 'Be2 Ga2 P2'
_space_group_name_H-M_alt 'P 1'
_space_group_IT_number 1
_cell_length_a 3.665
_cell_length_b 4.884
_cell_length_c 5.869
_cell_angle_alpha 114.93
_cell_angle_beta 90.00
_cell_angle_gamma 90.00
loop_
_space_group_symop_operation_xyz
'x,y,z'
loop_
_atom_site_label
_atom_site_fract_x
_atom_site_fract_y
_atom_site_fract_z
P1 0.250 0.894 0.719
P2 0.750 0.106 0.281
Ga1 0.250 0.359 0.113
Ga2 0.750 0.641 0.887
Be1 0.750 0.104 0.648
Be2 0.250 0.896 0.352


# LiAs2PtS (PBE-GGA, relaxed)
# Electronic total energy (eV per atom): -4.05
data_LiAs2PtS
_chemical_formula_sum 'Li1 As2 Pt1 S1'
_space_group_name_H-M_alt 'P 1'
_space_group_IT_number 1
_cell_length_a 4.796
_cell_length_b 4.772
_cell_length_c 4.796
_cell_angle_alpha 90.00
_cell_angle_beta 90.00
_cell_angle_gamma 90.00
loop_
_space_group_symop_operation_xyz
'x,y,z'
loop_
_atom_site_label
_atom_site_fract_x
_atom_site_fract_y
_atom_site_fract_z
As1 0.000 0.000 0.500
As2 0.500 0.000 0.000
S1 0.500 0.500 0.500
Pt1 0.000 0.000 0.000
Li1 0.000 0.500 0.000


# HgSb2HAu (PBE-GGA, relaxed)
# Electronic total energy (eV per atom): -2.88
data_HgSb2HAu
_chemical_formula_sum 'Hg1 Sb2 H1 Au1'
_space_group_name_H-M_alt 'P 1'
_space_group_IT_number 1
_cell_length_a 5.630
_cell_length_b 5.630
_cell_length_c 3.425
_cell_angle_alpha 90.00
_cell_angle_beta 90.00
_cell_angle_gamma 90.00
loop_
_space_group_symop_operation_xyz
'x,y,z'
loop_
_atom_site_label
_atom_site_fract_x
_atom_site_fract_y
_atom_site_fract_z
Sb1 0.000 0.500 0.000
Sb2 0.500 0.000 0.000
Au1 0.000 0.000 0.000
Hg1 0.500 0.500 0.500
H1 0.000 0.000 0.500


# Sm2Ga3FeIr4 (PBE-GGA, relaxed)
# Electronic total energy (eV per atom): -6.84
# DFT formation energy (eV per atom): -0.5940
data_Sm2Ga3FeIr4
_chemical_formula_sum 'Sm2 Ga3 Fe1 Ir4'
_space_group_name_H-M_alt 'P 1'
_space_group_IT_number 1
_cell_length_a 4.209
_cell_length_b 4.209
_cell_length_c 10.384
_cell_angle_alpha 90.00
_cell_angle_beta 90.00
_cell_angle_gamma 90.00
loop_
_space_group_symop_operation_xyz
'x,y,z'
loop_
_atom_site_label
_atom_site_fract_x
_atom_site_fract_y
_atom_site_fract_z
Sm1 0.500 0.000 0.244
Sm2 0.000 0.500 0.756
Ga1 0.000 0.000 0.500
Ga2 0.500 0.000 0.871
Ga3 0.000 0.500 0.129
Fe1 0.500 0.500 0.500
Ir1 0.500 0.500 0.000
Ir2 0.000 0.000 0.000
Ir3 0.500 0.000 0.632
Ir4 0.000 0.500 0.368


# ZnTeCl2 (PBE-GGA, relaxed)
# Electronic total energy (eV per atom): -2.03
# Offset from the most stable computed form (meV per atom): 619
data_ZnTeCl2
_chemical_formula_sum 'Zn1 Te1 Cl2'
_space_group_name_H-M_alt 'P 1'
_space_group_IT_number 1
_cell_length_a 7.024
_cell_length_b 7.024
_cell_length_c 7.024
_cell_angle_alpha 147.31
_cell_angle_beta 147.31
_cell_angle_gamma 46.90
loop_
_space_group_symop_operation_xyz
'x,y,z'
loop_
_atom_site_label
_atom_site_fract_x
_atom_site_fract_y
_atom_site_fract_z
Zn1 0.750 0.250 0.500
Te1 0.500 0.500 0.000
Cl1 0.000 0.000 0.000
Cl2 0.250 0.750 0.500


# Nb2InSbP (PBE-GGA, relaxed)
# Electronic total energy (eV per atom): -6.03
data_Nb2InSbP
_chemical_formula_sum 'Nb2 In1 Sb1 P1'
_space_group_name_H-M_alt 'P 1'
_space_group_IT_number 1
_cell_length_a 4.751
_cell_length_b 4.967
_cell_length_c 4.751
_cell_angle_alpha 90.00
_cell_angle_beta 90.00
_cell_angle_gamma 90.00
loop_
_space_group_symop_operation_xyz
'x,y,z'
loop_
_atom_site_label
_atom_site_fract_x
_atom_site_fract_y
_atom_site_fract_z
Sb1 0.500 0.500 0.500
Nb1 0.000 0.000 0.500
Nb2 0.500 0.000 0.000
P1 0.000 0.000 0.000
In1 0.000 0.500 0.000


# Cs2BaNaI6 (PBE-GGA, relaxed)
# Electronic total energy (eV per atom): -2.71
data_Cs2BaNaI6
_chemical_formula_sum 'Cs2 Ba1 Na1 I6'
_space_group_name_H-M_alt 'P 1'
_space_group_IT_number 1
_cell_length_a 9.184
_cell_length_b 9.184
_cell_length_c 9.185
_cell_angle_alpha 60.00
_cell_angle_beta 60.00
_cell_angle_gamma 90.00
loop_
_space_group_symop_operation_xyz
'x,y,z'
loop_
_atom_site_label
_atom_site_fract_x
_atom_site_fract_y
_atom_site_fract_z
Cs1 0.750 0.250 0.500
Cs2 0.250 0.750 0.500
I1 0.260 0.260 0.480
I2 0.740 0.740 0.520
I3 0.260 0.260 0.000
I4 0.740 0.740 0.000
I5 0.740 0.260 0.000
I6 0.260 0.740 0.000
Ba1 0.000 0.000 0.000
Na1 0.500 0.500 0.000


# CdNiSe2Cl (PBE-GGA, relaxed)
# Electronic total energy (eV per atom): -2.40
data_CdNiSe2Cl
_chemical_formula_sum 'Cd1 Ni1 Se2 Cl1'
_space_group_name_H-M_alt 'P 1'
_space_group_IT_number 1
_cell_length_a 5.265
_cell_length_b 5.038
_cell_length_c 5.265
_cell_angle_alpha 90.00
_cell_angle_beta 90.00
_cell_angle_gamma 90.00
loop_
_space_group_symop_operation_xyz
'x,y,z'
loop_
_atom_site_label
_atom_site_fract_x
_atom_site_fract_y
_atom_site_fract_z
Ni1 0.500 0.500 0.500
Cl1 0.000 0.500 0.000
Se1 0.000 0.000 0.500
Se2 0.500 0.000 0.000
Cd1 0.000 0.000 0.000


Among the records above, which one has the highest electronic total energy? Tl3Hg8Pb2